Below is a relaxed structure of ZrCrSe2Br, with properties calculated at the PBE-GGA level.

a b c (Å): 4.569 4.569 5.287
angles (deg): 90.00 90.00 90.00
Fractional coordinates of all 5 atoms:
Zr 0.000 0.000 0.000
Cr 0.000 0.000 0.500
Se 0.000 0.500 0.500
Se 0.500 0.000 0.500
Br 0.500 0.500 0.000

V (Å³ per atom): 22.07
Formation energy (no corrections) (meV per atom): -17.3
Calculated density (g/cm3): 5.73
Polymorph energy (0 for the lowest one) (eV/atom): 0.238
Uncorrected energy (eV/atom): -5.380
M_tot (μB/f.u.): 0.00

***

Below is a relaxed structure of ZrCrSe2Br, with properties calculated at the PBE-GGA level.

a b c (Å): 5.234 5.234 5.301
angles (deg): 90.00 90.00 90.00
Fractional coordinates of all 5 atoms:
Zr 0.000 0.000 0.000
Cr 0.500 0.500 0.500
Se 0.000 0.500 0.000
Se 0.500 0.000 0.000
Br 0.000 0.000 0.500

V (Å³ per atom): 29.05
Formation energy (no corrections) (meV per atom): -254.8
Calculated density (g/cm3): 4.36
Polymorph energy (0 for the lowest one) (eV/atom): 0.000
Uncorrected energy (eV/atom): -5.617
M_tot (μB/f.u.): 4.89

***

Below is a relaxed structure of ZrCrSeBr2, with properties calculated at the PBE-GGA level.

a b c (Å): 5.320 5.320 5.221
angles (deg): 90.00 90.00 90.00
Fractional coordinates of all 5 atoms:
Zr 0.000 0.000 0.000
Cr 0.500 0.500 0.500
Se 0.000 0.000 0.500
Br 0.000 0.500 0.000
Br 0.500 0.000 0.000

V (Å³ per atom): 29.55
Formation energy (no corrections) (meV per atom): 298.8
Calculated density (g/cm3): 4.29
Polymorph energy (0 for the lowest one) (eV/atom): 0.190
Uncorrected energy (eV/atom): -4.702
M_tot (μB/f.u.): 1.32

***

Below is a relaxed structure of ZrCrSe2Br, with properties calculated at the PBE-GGA level.

a b c (Å): 4.925 4.925 4.835
angles (deg): 90.00 90.00 90.00
Fractional coordinates of all 5 atoms:
Zr 0.000 0.000 0.000
Cr 0.500 0.500 0.500
Se 0.000 0.500 0.500
Se 0.500 0.000 0.500
Br 0.500 0.500 0.000

V (Å³ per atom): 23.45
Formation energy (no corrections) (meV per atom): -22.7
Calculated density (g/cm3): 5.40
Polymorph energy (0 for the lowest one) (eV/atom): 0.232
Uncorrected energy (eV/atom): -5.385
M_tot (μB/f.u.): 4.98

***

Below is a relaxed structure of CrSiBr, with properties calculated at the PBE-GGA level.

a b c (Å): 3.355 3.355 5.868
angles (deg): 90.00 90.00 120.00
Fractional coordinates of all 3 atoms:
Cr 0.000 0.000 0.000
Si 0.667 0.333 0.256
Br 0.333 0.667 0.698

V (Å³ per atom): 19.07
Formation energy (no corrections) (meV per atom): 333.0
Calculated density (g/cm3): 4.64
Polymorph energy (0 for the lowest one) (eV/atom): 0.096
Uncorrected energy (eV/atom): -5.240
M_tot (μB/f.u.): 2.73

***

Below is a relaxed structure of CrSiBr2, with properties calculated at the PBE-GGA level.

a b c (Å): 5.048 5.048 3.875
angles (deg): 90.00 90.00 99.37
Fractional coordinates of all 4 atoms:
Cr 0.000 0.000 0.000
Si 0.500 0.500 0.000
Br 0.231 0.769 0.500
Br 0.769 0.231 0.500

V (Å³ per atom): 24.36
Formation energy (no corrections) (meV per atom): 334.4
Calculated density (g/cm3): 4.09
Polymorph energy (0 for the lowest one) (eV/atom): 0.410
Uncorrected energy (eV/atom): -4.264
M_tot (μB/f.u.): 4.03

***

Below is a relaxed structure of CrSiBr2, with properties calculated at the PBE-GGA level.

a b c (Å): 3.417 3.586 8.480
angles (deg): 90.00 90.00 90.00
Fractional coordinates of all 4 atoms:
Cr 0.000 0.000 0.000
Si 0.500 0.500 0.949
Br 0.000 0.000 0.270
Br 0.500 0.500 0.680

V (Å³ per atom): 25.98
Formation energy (no corrections) (meV per atom): -53.7
Calculated density (g/cm3): 3.83
Polymorph energy (0 for the lowest one) (eV/atom): 0.022
Uncorrected energy (eV/atom): -4.652
M_tot (μB/f.u.): 2.19

***

Below is a relaxed structure of CrSiBr, with properties calculated at the PBE-GGA level.

a b c (Å): 4.627 4.627 4.627
angles (deg): 60.00 60.00 60.00
Fractional coordinates of all 3 atoms:
Cr 0.000 0.000 0.000
Si 0.250 0.250 0.250
Br 0.500 0.500 0.500

V (Å³ per atom): 23.34
Formation energy (no corrections) (meV per atom): 986.3
Calculated density (g/cm3): 3.79
Polymorph energy (0 for the lowest one) (eV/atom): 0.750
Uncorrected energy (eV/atom): -4.587
M_tot (μB/f.u.): 4.28